A geometry-optimized TaCoAg2 structure. Source: the Alexandria database, functional PBE.

The value obtained for the energy relative to the elements is 0.254 eV per atom. The calculation puts the calculated volume at 16.4 Å³ per atom. For the distance to the lowest polymorph of the same formula, the calculation gives 0.40 eV/f.u. The value obtained for the density of states at the Fermi level is 6.00 states/eV/cell.

The structure belongs to space group R3m (No. 160, hexagonal axes); the cell edges are 2.8772, 2.8772 and 27.3947 Å and the angles 90.00°, 90.00° and 120.00°. The inequivalent atoms are Ta at (0.0000, 0.0000, 0.0000), Co at (0.0000, 0.0000, 0.7371), Ag at (0.0000, 0.0000, 0.2418) and Ag at (0.0000, 0.0000, 0.4851).